Computed, not measured: a relaxed structure of NaTl2Bi2 at the PBE level of DFT.

Results
* density of states at the Fermi level: 0.396 states/eV/atom
* SG: C2/m
* energy of formation from the pure elements: -0.13 eV per atom
* crystal system: monoclinic
* energy: -14.49 eV per cell

Unit cell a=3.5321 b=4.9599 c=9.4985 alpha=105.13 beta=100.71 gamma=90.00
Positions (direct):
Na 0.5000 0.5000 0.0000
Tl 0.6854 0.6880 0.3760
Tl 0.3146 0.3120 0.6240
Bi 0.0880 0.0905 0.1810
Bi 0.9120 0.9095 0.8190